The following is a PBE calculation of an optimized crystal structure of Ca8PdN2, from Alexandria.

Properties
The space group is C2/m (12). The total energy comes out at -3.86 eV per atom. The energy relative to the elements, uncorrected is -0.42 eV/atom. The calculated volume is 369.8 Å³ per cell.

```
Ca8PdN2
1.0
6.673 -0.732 -0.511
0.191 7.925 0.623
0.191 3.312 7.227
Ca Pd N
8 1 2
Direct
0.251 0.109 0.683
0.251 0.683 0.109
0.749 0.891 0.317
0.237 0.661 0.661
0.749 0.317 0.891
0.300 0.169 0.169
0.700 0.831 0.831
0.763 0.339 0.339
0.000 0.000 0.000
0.631 0.186 0.186
0.369 0.814 0.814
```

=====

The following is a PBE calculation of an optimized crystal structure of Ca6Pd2PtN, from Alexandria.

Properties
The space group is P2_1/c (14). The total energy comes out at -4.34 eV per atom. The energy relative to the elements, uncorrected is -0.66 eV/atom. The calculated volume is 498.8 Å³ per cell.

```
Ca6Pd2PtN
1.0
-5.658 -2.398 -2.852
-3.016 -0.935 6.771
-4.057 8.974 -0.568
Ca Pd Pt N
12 4 2 2
Direct
0.301 0.663 0.057
0.801 0.837 0.557
0.699 0.337 0.943
0.199 0.163 0.443
0.346 0.706 0.439
0.846 0.794 0.939
0.654 0.294 0.561
0.154 0.206 0.061
0.871 0.540 0.231
0.371 0.960 0.731
0.129 0.460 0.769
0.629 0.040 0.269
0.042 0.900 0.255
0.542 0.600 0.755
0.958 0.100 0.745
0.458 0.400 0.245
0.500 0.000 0.000
0.000 0.500 0.500
0.500 0.000 0.500
0.000 0.500 0.000
```

=====

The following is a PBE calculation of an optimized crystal structure of Ca4Pu3PdN8, from Alexandria.

Properties
The space group is C2/m (12). The total energy comes out at -8.59 eV per atom. The energy relative to the elements, uncorrected is -0.92 eV/atom. The calculated volume is 231.7 Å³ per cell.

```
Ca4Pu3PdN8
1.0
-1.049 2.786 5.919
-6.175 1.862 -1.971
1.687 -6.803 -0.207
Ca Pu Pd N
4 3 1 8
Direct
0.500 0.000 0.000
0.500 0.000 0.500
0.000 0.000 0.000
0.000 0.000 0.500
0.500 0.500 0.000
0.500 0.500 0.500
0.000 0.500 0.500
0.000 0.500 0.000
0.248 0.710 0.981
0.275 0.738 0.551
0.253 0.274 0.507
0.733 0.710 0.981
0.267 0.290 0.019
0.747 0.726 0.493
0.725 0.262 0.449
0.752 0.290 0.019
```

=====

The following is a PBE calculation of an optimized crystal structure of CaPdRh2N, from Alexandria.

Properties
The space group is P4/mmm (123). The value obtained for the energy above the lowest structure with this stoichiometry is 2.0811 eV per atom. The total energy comes out at -4.20 eV per atom. The energy relative to the elements, uncorrected is 1.85 eV/atom. The calculated volume is 100.7 Å³ per cell.

```
CaPdRh2N
1.0
-1.070 1.547 -4.519
0.861 -3.826 -1.514
-4.670 -1.311 0.657
Ca Rh Pd N
1 2 1 1
Direct
0.000 0.000 0.000
0.000 0.000 0.500
0.500 0.000 0.000
0.500 0.500 0.500
0.000 0.500 0.000
```

=====

The following is a PBE calculation of an optimized crystal structure of CaPdRh2N, from Alexandria.

Properties
The space group is P4/mmm (123). The value obtained for the energy above the lowest structure with this stoichiometry is 0.0486 eV per atom. The total energy comes out at -6.23 eV per atom. The energy relative to the elements, uncorrected is -0.19 eV/atom. The calculated volume is 75.5 Å³ per cell.

```
CaPdRh2N
1.0
4.103 0.000 0.000
0.000 4.103 0.000
0.000 0.000 4.484
Ca Rh Pd N
1 2 1 1
Direct
0.500 0.500 0.500
0.000 0.500 0.000
0.500 0.000 0.000
0.000 0.000 0.500
0.000 0.000 0.000
```

=====

The following is a PBE calculation of an optimized crystal structure of CaPdRh2N, from Alexandria.

Properties
The space group is P4/mmm (123). The value obtained for the energy above the lowest structure with this stoichiometry is 0.0000 eV per atom. The total energy comes out at -6.28 eV per atom. The energy relative to the elements, uncorrected is -0.24 eV/atom. The calculated volume is 77.0 Å³ per cell.

```
CaPdRh2N
1.0
3.996 0.000 0.000
0.000 3.996 0.000
0.000 0.000 4.823
Ca Rh Pd N
1 2 1 1
Direct
0.000 0.000 0.500
0.000 0.500 0.000
0.500 0.000 0.000
0.500 0.500 0.500
0.000 0.000 0.000
```

=====

The following is a PBE calculation of an optimized crystal structure of Ca2PdRuN, from Alexandria.

Properties
The space group is P4/mmm (123). The total energy comes out at -5.90 eV per atom. The energy relative to the elements, uncorrected is -0.54 eV/atom. The calculated volume is 93.4 Å³ per cell.

```
Ca2PdRuN
1.0
-0.723 -4.908 0.227
4.863 -0.748 -0.677
0.537 0.094 3.748
Ru Ca Pd N
1 2 1 1
Direct
0.000 0.000 0.500
0.000 0.500 0.000
0.500 0.000 0.000
0.500 0.500 0.500
0.000 0.000 0.000
```

=====

The following is a PBE calculation of an optimized crystal structure of CaPdSN2, from Alexandria.

Properties
The space group is P4/mmm (123). The value obtained for the energy above the lowest structure with this stoichiometry is 1.1174 eV per atom. The total energy comes out at -4.01 eV per atom. The energy relative to the elements, uncorrected is 1.58 eV/atom. The calculated volume is 108.1 Å³ per cell.

```
CaPdSN2
1.0
-1.357 -2.570 3.336
-1.805 -2.812 -2.900
4.750 -2.810 -0.232
Ca S Pd N
1 1 1 2
Direct
0.000 0.000 0.000
0.000 0.000 0.500
0.500 0.500 0.500
0.000 0.500 0.000
0.500 0.000 0.000
```

=====

The following is a PBE calculation of an optimized crystal structure of CaPdSN2, from Alexandria.

Properties
The space group is P4/mmm (123). The value obtained for the energy above the lowest structure with this stoichiometry is 0.0000 eV per atom. The total energy comes out at -5.13 eV per atom. The energy relative to the elements, uncorrected is 0.47 eV/atom. The calculated volume is 82.6 Å³ per cell.

```
CaPdSN2
1.0
-2.241 -1.468 3.006
1.981 -3.497 -0.232
3.413 1.709 3.379
Ca S Pd N
1 1 1 2
Direct
0.500 0.500 0.500
0.000 0.000 0.500
0.000 0.000 0.000
0.000 0.500 0.000
0.500 0.000 0.000
```

=====

The following is a PBE calculation of an optimized crystal structure of Ca2SbPdN, from Alexandria.

Properties
The space group is P4/mmm (123). The value obtained for the energy above the lowest structure with this stoichiometry is 0.1449 eV per atom. The total energy comes out at -4.82 eV per atom. The energy relative to the elements, uncorrected is -0.49 eV/atom. The calculated volume is 103.4 Å³ per cell.

```
Ca2SbPdN
1.0
-2.168 2.639 3.329
1.673 -2.712 3.240
3.868 2.771 0.323
Sb Ca Pd N
1 2 1 1
Direct
0.000 0.500 0.000
0.000 0.000 0.500
0.500 0.000 0.000
0.500 0.500 0.500
0.000 0.000 0.000
```

=====

The following is a PBE calculation of an optimized crystal structure of Ca2SbPdN, from Alexandria.

Properties
The space group is P4/mmm (123). The value obtained for the energy above the lowest structure with this stoichiometry is 0.0000 eV per atom. The total energy comes out at -4.97 eV per atom. The energy relative to the elements, uncorrected is -0.64 eV/atom. The calculated volume is 100.8 Å³ per cell.

```
Ca2SbPdN
1.0
-2.330 -3.907 1.728
4.225 -2.399 0.272
0.554 1.427 3.973
Sb Ca Pd N
1 2 1 1
Direct
0.500 0.500 0.500
0.000 0.500 0.000
0.500 0.000 0.000
0.000 0.000 0.500
0.000 0.000 0.000
```

=====

The following is a PBE calculation of an optimized crystal structure of CaPdSeN2, from Alexandria.

Properties
The space group is P4/mmm (123). The value obtained for the energy above the lowest structure with this stoichiometry is 0.9712 eV per atom. The total energy comes out at -3.98 eV per atom. The energy relative to the elements, uncorrected is 1.49 eV/atom. The calculated volume is 114.2 Å³ per cell.

```
CaPdSeN2
1.0
4.409 0.000 0.000
0.000 4.409 0.000
0.000 0.000 5.878
Ca Se Pd N
1 1 1 2
Direct
0.000 0.000 0.000
0.000 0.000 0.500
0.500 0.500 0.500
0.000 0.500 0.000
0.500 0.000 0.000
```

=====

The following is a PBE calculation of an optimized crystal structure of CaPdSeN2, from Alexandria.

Properties
The space group is P4/mmm (123). The value obtained for the energy above the lowest structure with this stoichiometry is 0.0000 eV per atom. The total energy comes out at -4.95 eV per atom. The energy relative to the elements, uncorrected is 0.52 eV/atom. The calculated volume is 88.9 Å³ per cell.

```
CaPdSeN2
1.0
4.078 0.000 0.000
0.000 4.078 0.000
0.000 0.000 5.344
Ca Se Pd N
1 1 1 2
Direct
0.500 0.500 0.500
0.000 0.000 0.500
0.000 0.000 0.000
0.000 0.500 0.000
0.500 0.000 0.000
```

=====

The following is a PBE calculation of an optimized crystal structure of CaPdSe2N, from Alexandria.

Properties
The space group is P4/mmm (123). The value obtained for the energy above the lowest structure with this stoichiometry is 1.1653 eV per atom. The total energy comes out at -3.47 eV per atom. The energy relative to the elements, uncorrected is 1.03 eV/atom. The calculated volume is 123.2 Å³ per cell.

```
CaPdSe2N
1.0
-4.673 -2.199 1.549
-0.356 -2.572 -4.726
2.095 -3.299 1.638
Ca Se Pd N
1 2 1 1
Direct
0.000 0.000 0.000
0.000 0.500 0.000
0.500 0.000 0.000
0.500 0.500 0.500
0.000 0.000 0.500
```

=====

The following is a PBE calculation of an optimized crystal structure of CaPdSe2N, from Alexandria.

Properties
The space group is P4/mmm (123). The value obtained for the energy above the lowest structure with this stoichiometry is 0.0000 eV per atom. The total energy comes out at -4.63 eV per atom. The energy relative to the elements, uncorrected is -0.13 eV/atom. The calculated volume is 104.1 Å³ per cell.

```
CaPdSe2N
1.0
5.252 0.000 0.000
0.000 5.252 0.000
0.000 0.000 3.773
Ca Se Pd N
1 2 1 1
Direct
0.500 0.500 0.500
0.000 0.500 0.000
0.500 0.000 0.000
0.000 0.000 0.000
0.000 0.000 0.500
```

=====

The following is a PBE calculation of an optimized crystal structure of SrCa2PdN, from Alexandria.

Properties
The space group is P4/mmm (123). The total energy comes out at -4.45 eV per atom. The energy relative to the elements, uncorrected is -0.61 eV/atom. The calculated volume is 120.4 Å³ per cell.

```
SrCa2PdN
1.0
4.791 0.000 0.000
0.000 4.791 0.000
0.000 0.000 5.245
Sr Ca Pd N
1 2 1 1
Direct
0.000 0.000 0.500
0.000 0.500 0.000
0.500 0.000 0.000
0.500 0.500 0.500
0.000 0.000 0.000
```

=====

The following is a PBE calculation of an optimized crystal structure of CaTaPdN2, from Alexandria.

Properties
The space group is P4/mmm (123). The total energy comes out at -4.81 eV per atom. The energy relative to the elements, uncorrected is 2.33 eV/atom. The calculated volume is 102.3 Å³ per cell.

```
CaTaPdN2
1.0
4.080 0.000 0.000
0.000 6.147 0.000
0.000 0.000 4.080
Ca N Pd Ta
1 2 1 1
Direct
0.000 0.000 0.000
0.000 0.000 0.500
0.500 0.000 0.000
0.500 0.500 0.500
0.000 0.500 0.000
```

=====

The following is a PBE calculation of an optimized crystal structure of CaTlPd2N, from Alexandria.

Properties
The space group is P4/mmm (123). The total energy comes out at -4.74 eV per atom. The energy relative to the elements, uncorrected is -0.12 eV/atom. The calculated volume is 88.8 Å³ per cell.

```
CaTlPd2N
1.0
4.373 0.000 0.000
0.000 4.643 0.000
0.000 0.000 4.373
Tl Ca Pd N
1 1 2 1
Direct
0.500 0.500 0.500
0.000 0.500 0.000
0.000 0.000 0.500
0.500 0.000 0.000
0.000 0.000 0.000
```

=====

The following is a PBE calculation of an optimized crystal structure of Ca2TlPdN, from Alexandria.

Properties
The space group is P4/mmm (123). The total energy comes out at -4.44 eV per atom. The energy relative to the elements, uncorrected is -0.46 eV/atom. The calculated volume is 102.7 Å³ per cell.

```
Ca2TlPdN
1.0
-4.921 -0.296 -0.353
-0.173 -2.320 4.361
-0.363 3.705 1.956
Tl Ca Pd N
1 2 1 1
Direct
0.500 0.500 0.500
0.000 0.500 0.000
0.500 0.000 0.000
0.000 0.000 0.500
0.000 0.000 0.000
```

=====

The following is a PBE calculation of an optimized crystal structure of Ca3U3PdN8, from Alexandria.

Properties
The space group is C2/m (12). The total energy comes out at -8.39 eV per atom. The energy relative to the elements, uncorrected is -0.94 eV/atom. The calculated volume is 227.4 Å³ per cell.

```
Ca3U3PdN8
1.0
-6.630 1.860 -1.117
4.153 -1.413 -5.221
-2.115 -5.009 4.215
Ca U Pd N
3 3 1 8
Direct
0.000 0.000 0.000
0.000 0.500 0.000
0.500 0.500 0.000
0.500 0.000 0.500
0.500 0.500 0.500
0.000 0.500 0.500
0.000 0.000 0.500
0.262 0.523 0.276
0.738 0.477 0.724
0.769 0.538 0.309
0.231 0.462 0.691
0.753 0.055 0.294
0.247 0.945 0.706
0.302 0.055 0.294
0.698 0.945 0.706
```